[1]
4
Lattice="8.750 -0.001 0.000 8.226 2.982 0.000 8.226 1.445 2.609" Properties=species:S:1:pos:R:3 comment="TeIr2Pt PBE optimized geometry" raw_formation_energy_ev_per_atom=0.5165 volume_a3_per_atom=17.0 pbc="T T T"
Pt 6.301 1.106 0.652
Ir 0.045 0.008 0.005
Ir 12.557 2.205 1.299
Te 18.902 3.319 1.956

=====

[2]
4
Lattice="-1.216 -1.352 -5.418 4.054 -0.021 -4.028 -2.208 -2.001 4.877" Properties=species:S:1:pos:R:3 comment="TeIr2Pt PBE optimized geometry" raw_formation_energy_ev_per_atom=0.4093 volume_a3_per_atom=17.2 pbc="T T T"
Ir -0.956 -2.042 -2.785
Ir 2.816 -1.362 -9.372
Pt 1.450 -0.701 -4.827
Te 1.578 -1.328 -1.755

=====

[3]
4
Lattice="4.578 0.000 0.000 2.289 3.965 0.000 2.289 1.322 3.738" Properties=species:S:1:pos:R:3 comment="TeIr2Pt PBE optimized geometry" raw_formation_energy_ev_per_atom=0.4834 volume_a3_per_atom=17.0 pbc="T T T"
Te 6.868 3.965 2.804
Pt 4.578 2.643 1.869
Ir 2.289 1.322 0.935
Ir 0.000 0.000 0.000

=====

[4]
4
Lattice="3.913 0.000 0.000 0.000 4.128 0.000 0.000 0.000 4.128" Properties=species:S:1:pos:R:3 comment="TeIr2Pt PBE optimized geometry" raw_formation_energy_ev_per_atom=0.3821 volume_a3_per_atom=16.7 pbc="T T T"
Ir 0.000 0.000 0.000
Ir 0.000 2.064 2.064
Pt 1.957 2.064 0.000
Te 1.957 0.000 2.064

=====

[5]
4
Lattice="4.994 0.021 0.000 1.685 4.701 0.000 -3.339 -2.361 2.866" Properties=species:S:1:pos:R:3 comment="TeIr2Pt PBE optimized geometry" raw_formation_energy_ev_per_atom=0.4474 volume_a3_per_atom=16.8 pbc="T T T"
Pt 3.339 2.361 0.000
Te 2.497 0.010 1.433
Ir 0.000 0.000 0.000
Ir 0.842 2.350 1.433

=====

[6]
4
Lattice="-4.091 2.011 -1.151 -0.439 -4.869 2.682 -0.456 0.698 2.890" Properties=species:S:1:pos:R:3 comment="TeIr2Pt PBE optimized geometry" raw_formation_energy_ev_per_atom=0.4097 volume_a3_per_atom=17.1 pbc="T T T"
Te -2.265 -1.429 0.765
Pt -0.447 -2.086 2.786
Ir 0.000 0.000 0.000
Ir -2.273 1.354 0.869

=====

[7]
4
Lattice="-3.822 3.214 -8.124 -6.119 3.608 -6.362 -4.039 5.654 -6.532" Properties=species:S:1:pos:R:3 comment="TeIr2Pt PBE optimized geometry" raw_formation_energy_ev_per_atom=0.4868 volume_a3_per_atom=17.4 pbc="T T T"
Ir -13.884 12.390 -20.873
Ir -3.537 3.156 -5.317
Pt -7.103 6.339 -10.679
Te -10.427 9.305 -15.676

=====

[8]
4
Lattice="-3.396 2.969 1.635 -2.349 -3.730 1.895 1.489 0.330 2.495" Properties=species:S:1:pos:R:3 comment="TeIr2Pt PBE optimized geometry" raw_formation_energy_ev_per_atom=0.4369 volume_a3_per_atom=16.8 pbc="T T T"
Ir 0.000 0.000 0.000
Ir -2.873 -0.381 1.765
Te -0.430 -1.700 2.195
Pt -0.954 1.650 2.065

=====

> What is the formula in the fourth record?

TeIr2Pt